# CeSm2HoS6 PBE-GGA optimized geometry
# Formation energy without anion corrections (meV/atom): -2006
data_CeSm2HoS6
_chemical_formula_sum 'Ce3 Sm6 Ho3 S18'
_cell_length_a 7.0713
_cell_length_b 7.0713
_cell_length_c 18.7386
_cell_angle_alpha 90.00
_cell_angle_beta 90.00
_cell_angle_gamma 120.00
_symmetry_space_group_name_H-M 'R 3'
_symmetry_Int_Tables_number 146
_symmetry_space_group_name_Hall 'R 3'
loop_
_atom_site_label
_atom_site_fract_x
_atom_site_fract_y
_atom_site_fract_z
_atom_site_occupancy
Ce1 0.0000 0.0000 0.0000 1
Sm1 0.0000 0.0000 0.2049 1
Sm2 0.0000 0.0000 0.7079 1
Ho1 0.0000 0.0000 0.5039 1
S1 0.0110 0.3081 0.1036 1
S2 0.0434 0.6709 0.2692 1

# Sr2AgRh PBE-GGA optimized geometry
# Formation energy from the elements (eV per atom): -0.10
data_Sr2AgRh
_chemical_formula_sum 'Sr4 Ag2 Rh2'
_cell_length_a 12.626
_cell_length_b 3.747
_cell_length_c 4.995
_cell_angle_alpha 90.00
_cell_angle_beta 112.52
_cell_angle_gamma 90.00
_symmetry_space_group_name_H-M 'C 1 m 1'
_symmetry_Int_Tables_number 8
loop_
_symmetry_equiv_pos_as_xyz
'x,y,z'
'x,-y,z'
'x+1/2,y+1/2,z'
'x+1/2,-y+1/2,z'
loop_
_atom_site_label
_atom_site_fract_x
_atom_site_fract_y
_atom_site_fract_z
_atom_site_occupancy
Sr1 0.000 0.000 0.000 1
Sr2 0.209 0.000 0.704 1
Ag1 0.294 0.500 0.289 1
Rh1 0.471 0.000 0.474 1

# Ac2ErOsO6 PBE-GGA optimized geometry
# Formation energy without anion corrections (meV/atom): -2653
data_Ac2ErOsO6
_chemical_formula_sum 'Ac2 Er1 Os1 O6'
_cell_length_a 5.706
_cell_length_b 5.856
_cell_length_c 5.918
_cell_angle_alpha 62.77
_cell_angle_beta 61.27
_cell_angle_gamma 60.97
_symmetry_space_group_name_H-M 'P -1'
_symmetry_Int_Tables_number 2
loop_
_symmetry_equiv_pos_as_xyz
'x,y,z'
'-x,-y,-z'
loop_
_atom_site_label
_atom_site_fract_x
_atom_site_fract_y
_atom_site_fract_z
_atom_site_occupancy
Ac1 0.240 0.249 0.271 1
Er1 0.000 0.000 0.000 1
Os1 0.500 0.500 0.500 1
O1 0.204 0.803 0.308 1
O2 0.259 0.646 0.835 1
O3 0.317 0.195 0.694 1

# InSeF PBE-GGA optimized geometry
# Formation energy without anion corrections (meV/atom): -1216
data_InSeF
_chemical_formula_sum 'In1 Se1 F1'
_cell_length_a 3.8706
_cell_length_b 3.8706
_cell_length_c 5.5720
_cell_angle_alpha 90.00
_cell_angle_beta 90.00
_cell_angle_gamma 120.00
_symmetry_space_group_name_H-M 'P 3 m 1'
_symmetry_Int_Tables_number 156
loop_
_symmetry_equiv_pos_as_xyz
'x,y,z'
'-y,x-y,z'
'-x+y,-x,z'
'-y,-x,z'
'-x+y,y,z'
'x,x-y,z'
loop_
_atom_site_label
_atom_site_fract_x
_atom_site_fract_y
_atom_site_fract_z
_atom_site_occupancy
In1 0.0000 0.0000 0.0000 1
Se1 0.6667 0.3333 0.2455 1
F1 0.3333 0.6667 0.8038 1

# ThZnH PBE-GGA optimized geometry
# Energy above the lowest structure with this stoichiometry (kJ/mol of formula units): 0
data_ThZnH
_chemical_formula_sum 'Th4 Zn4 H4'
_cell_length_a 4.278
_cell_length_b 11.549
_cell_length_c 4.238
_cell_angle_alpha 90.00
_cell_angle_beta 90.00
_cell_angle_gamma 90.00
_symmetry_space_group_name_H-M 'C m c m'
_symmetry_Int_Tables_number 63
_symmetry_space_group_name_Hall '-C 2c 2'
loop_
_atom_site_label
_atom_site_fract_x
_atom_site_fract_y
_atom_site_fract_z
_atom_site_occupancy
Th1 0.000 0.153 0.250 1
Zn1 0.000 0.438 0.250 1
H1 0.000 0.251 0.750 1

# AlRu3 PBE-GGA optimized geometry
# Formation energy from the elements (eV per atom): -0.05
data_AlRu3
_chemical_formula_sum 'Al4 Ru12'
_cell_length_a 6.092
_cell_length_b 6.092
_cell_length_c 6.092
_cell_angle_alpha 90.00
_cell_angle_beta 90.00
_cell_angle_gamma 90.00
_symmetry_space_group_name_H-M 'F m -3 m'
_symmetry_Int_Tables_number 225
_symmetry_space_group_name_Hall '-F 4 2 3'
loop_
_atom_site_label
_atom_site_fract_x
_atom_site_fract_y
_atom_site_fract_z
_atom_site_occupancy
Al1 0.000 0.000 0.000 1
Ru1 0.000 0.000 0.500 1
Ru2 0.250 0.250 0.250 1

# ZnBiCl5 PBE-GGA optimized geometry
# Formation energy without anion corrections (meV/atom): -1020
data_ZnBiCl5
_chemical_formula_sum 'Zn4 Bi4 Cl20'
_cell_length_a 10.329
_cell_length_b 9.886
_cell_length_c 10.173
_cell_angle_alpha 90.00
_cell_angle_beta 119.45
_cell_angle_gamma 90.00
_symmetry_space_group_name_H-M 'C 1 2/c 1'
_symmetry_Int_Tables_number 15
loop_
_symmetry_equiv_pos_as_xyz
'x,y,z'
'-x,-y,-z'
'-x,y,-z+1/2'
'x,-y,z+1/2'
'x+1/2,y+1/2,z'
'-x+1/2,-y+1/2,-z'
'-x+1/2,y+1/2,-z+1/2'
'x+1/2,-y+1/2,z+1/2'
loop_
_atom_site_label
_atom_site_fract_x
_atom_site_fract_y
_atom_site_fract_z
_atom_site_occupancy
Zn1 0.000 0.133 0.250 1
Bi1 0.250 0.250 0.000 1
Cl1 0.000 0.340 0.750 1
Cl2 0.116 0.289 0.171 1
Cl3 0.171 0.019 0.458 1

# MnAg2Br6 PBE-GGA optimized geometry
# Formation energy without anion corrections (meV/atom): -436
data_MnAg2Br6
_chemical_formula_sum 'Mn2 Ag4 Br12'
_cell_length_a 6.858
_cell_length_b 6.551
_cell_length_c 13.458
_cell_angle_alpha 90.00
_cell_angle_beta 120.63
_cell_angle_gamma 90.00
_symmetry_space_group_name_H-M 'P 1 21/c 1'
_symmetry_Int_Tables_number 14
loop_
_symmetry_equiv_pos_as_xyz
'x,y,z'
'-x,-y,-z'
'-x,y+1/2,-z+1/2'
'x,-y+1/2,z+1/2'
loop_
_atom_site_label
_atom_site_fract_x
_atom_site_fract_y
_atom_site_fract_z
_atom_site_occupancy
Mn1 0.000 0.000 0.000 1
Ag1 0.312 0.000 0.812 1
Br1 0.004 0.217 0.847 1
Br2 0.287 0.720 0.500 1
Br3 0.309 0.219 0.152 1

Calculated total energy? In order: -64.8, -14.0, -80.3, -11.7, -13.2, -31.8, -21.5, -28.8 eV per formula unit.